A relaxed CePaAgOs crystal. Source: Alexandria, functional GGA-PBE.

```
4
Lattice="0.0000 3.5322 3.5322 3.5322 0.0000 3.5322 3.5322 3.5322 0.0000" Properties=species:S:1:pos:R:3 pbc="T T T"
Ce 0.0000 0.0000 0.0000
Pa 3.5322 3.5322 3.5322
Ag 1.7661 1.7661 1.7661
Os 5.2982 5.2982 5.2982
```

Summary:
E_form = 0.012 eV/atom
density = 12.61 g cm⁻³
total magnetic moment = 0.02 μB per atom
crystal system = cubic
VASP energy = -7.37 eV/atom